Record 1
A plane-wave DFT calculation with PBE was carried out for an optimized crystal structure of SrTeF2.

a = 10.0817 Å, b = 10.0817 Å, c = 10.0817 Å
α = 21.02°, β = 21.02°, γ = 21.02°
Each line ends with the local moment (μB).
Element x y z (fractional)
Sr 0.5000 0.5000 0.5000  0.00
F 0.8705 0.8705 0.8705  0.00
F 0.1295 0.1295 0.1295  0.00
Te 0.0000 0.0000 0.0000  0.23

As for the uncorrected formation energy: -2536 meV per atom. As for the total magnetization: 0.108 μB/atom. As for the excess energy over the best structure of this formula in the dataset: 0 meV/atom. As for the space group: No. 166.



Record 2
A plane-wave DFT calculation with PBE was carried out for an optimized crystal structure of NaCeTl6.

a = 4.8598 Å, b = 4.8598 Å, c = 9.6796 Å
α = 90.00°, β = 90.00°, γ = 90.00°
Each line ends with the local moment (μB).
Element x y z (fractional)
Tl 0.0000 0.5000 0.7499  0.00
Tl 0.5000 0.0000 0.7499  0.00
Tl 0.0000 0.5000 0.2501  0.00
Tl 0.5000 0.0000 0.2501  0.00
Na 0.0000 0.0000 0.0000  0.00
Ce 0.0000 0.0000 0.5000  0.88
Tl 0.5000 0.5000 0.0000  0.00
Tl 0.5000 0.5000 0.5000  0.01

The calculation puts the formation enthalpy at 0 K at -0.118 eV/atom. As for the total magnetization: 0.125 μB/atom. As for the space group: No. 123.



Record 3
A plane-wave DFT calculation with PBE was carried out for an optimized crystal structure of TcBiPb3.

a = 5.3728 Å, b = 5.3728 Å, c = 5.3728 Å
α = 90.00°, β = 90.00°, γ = 90.00°
Each line ends with the local moment (μB).
Element x y z (fractional)
Bi 0.5000 0.5000 0.5000  0.50
Tc 0.0000 0.0000 0.0000  0.73
Pb 0.0000 0.0000 0.5000  -0.01
Pb 0.0000 0.5000 0.0000  -0.01
Pb 0.5000 0.0000 0.0000  -0.03

The calculation puts the formation enthalpy at 0 K at 0.428 eV/atom. As for the total magnetization: 0.296 μB/atom. As for the excess energy over the best structure of this formula in the dataset: 0 meV/atom. As for the space group: No. 221.



Record 4
A plane-wave DFT calculation with PBE was carried out for an optimized crystal structure of SrCeTlCd.

a = 5.6166 Å, b = 5.6166 Å, c = 5.6166 Å
α = 60.00°, β = 60.00°, γ = 60.00°
Each line ends with the local moment (μB).
Element x y z (fractional)
Sr 0.0000 0.0000 0.0000  0.01
Ce 0.5000 0.5000 0.5000  0.97
Tl 0.2500 0.2500 0.2500  0.00
Cd 0.7500 0.7500 0.7500  0.01

The calculation puts the formation enthalpy at 0 K at -0.248 eV/atom. As for the total magnetization: 0.284 μB/atom. As for the space group: No. 216.



Record 5
A plane-wave DFT calculation with PBE was carried out for an optimized crystal structure of MnP4.

a = 4.6131 Å, b = 4.5765 Å, c = 7.0625 Å
α = 99.01°, β = 90.00°, γ = 90.00°
Each line ends with the local moment (μB).
Element x y z (fractional)
P 0.1940 0.7986 0.2530  -0.01
P 0.8421 0.6256 0.4151  -0.01
P 0.8060 0.2014 0.7470  -0.01
P 0.6579 0.6256 0.9151  -0.01
P 0.6940 0.2014 0.2470  -0.01
P 0.1579 0.3744 0.5849  -0.01
P 0.3060 0.7986 0.7530  -0.01
Mn 0.0000 0.0000 0.0000  1.00
P 0.3421 0.3744 0.0849  -0.01
Mn 0.5000 0.0000 0.5000  1.03

The calculation puts the formation enthalpy at 0 K at -0.257 eV/atom. As for the total magnetization: 0.200 μB/atom. As for the space group: No. 14.



Record 6
A plane-wave DFT calculation with PBE was carried out for an optimized crystal structure of SmGa2Ag.

a = 4.2487 Å, b = 4.4501 Å, c = 4.4501 Å
α = 90.00°, β = 90.00°, γ = 90.00°
Element x y z (fractional)
Sm 0.5000 0.5000 0.5000
Ga 0.0000 0.0000 0.5000
Ag 0.5000 0.0000 0.0000
Ga 0.0000 0.5000 0.0000

The calculation puts the formation enthalpy at 0 K at -0.377 eV/atom. As for the total magnetization: 0.000 μB/atom. As for the space group: No. 123.



Record 7
A plane-wave DFT calculation with PBE was carried out for an optimized crystal structure of Re2AgIr.

a = 4.7775 Å, b = 4.7775 Å, c = 4.7775 Å
α = 130.87°, β = 130.87°, γ = 72.02°
Element x y z (fractional)
Re 0.2500 0.7500 0.5000
Re 0.0000 0.0000 0.0000
Ir 0.7500 0.2500 0.5000
Ag 0.5000 0.5000 0.0000

The calculation puts the formation enthalpy at 0 K at 0.456 eV/atom. As for the total magnetization: 0.000 μB/atom. As for the excess energy over the best structure of this formula in the dataset: 273 meV/atom. As for the space group: No. 119.



Record 8
A plane-wave DFT calculation with PBE was carried out for an optimized crystal structure of TlTe2As2.

a = 8.8532 Å, b = 8.8532 Å, c = 3.8487 Å
α = 90.00°, β = 90.00°, γ = 90.00°
Element x y z (fractional)
Tl 0.5000 0.5000 0.0000
As 0.8128 0.6872 0.0000
Te 0.6646 0.8354 0.5000
As 0.3128 0.8128 0.0000
As 0.1872 0.3128 0.0000
Tl 0.0000 0.0000 0.0000
As 0.6872 0.1872 0.0000
Te 0.8354 0.3354 0.5000
Te 0.3354 0.1646 0.5000
Te 0.1646 0.6646 0.5000

As for the uncorrected formation energy: 75 meV per atom. As for the total magnetization: 0.000 μB/atom. As for the excess energy over the best structure of this formula in the dataset: 0 meV/atom. As for the space group: No. 127.



Q: Which formula does entry 1 have?
A: SrTeF2



Q: Which formula does entry 8 have?
A: TlTe2As2